Record 1
Entry from the Alexandria database: an optimized crystal structure of PmPr5Te5 (PBE-GGA).

Results
Raw formation energy (meV/atom): -1243
Density (Mg/m³): 6.5
E_tot (eV per cell): -58.0
DOS(E_F) (states/eV/atom): 0.659
Total magnetic moment (μB per atom): 0.0000
Crystal system: monoclinic

Structure (POSCAR):
```
PmPr5Te5
1.0
-1.361 -0.314 6.183
-5.054 -3.686 -4.549
6.920 -5.529 1.243
Te Pr Pm
5 5 1
Direct
0.837 0.673 0.670
0.830 0.660 0.160
0.170 0.340 0.840
0.500 0.000 0.000
0.163 0.327 0.330
0.669 0.339 0.338
0.663 0.327 0.823
0.000 0.000 0.500
0.337 0.673 0.177
0.331 0.661 0.662
0.000 0.000 0.000
```

Record 2
Entry from the Alexandria database: an optimized crystal structure of Pm2PrTe3 (PBE-GGA).

Results
Raw formation energy (meV/atom): -1417
Density (Mg/m³): 7.0
E_tot (eV per cell): -32.2
DOS(E_F) (states/eV/atom): 0.500
Total magnetic moment (μB per atom): 0.0000
Crystal system: orthorhombic

Structure (POSCAR):
```
Pm2PrTe3
1.0
-2.467 2.340 2.968
-2.241 -5.410 2.403
7.449 1.365 1.684
Te Pm Pr
3 2 1
Direct
0.829 0.329 0.159
0.500 0.000 0.500
0.171 0.671 0.841
0.838 0.838 0.175
0.162 0.162 0.825
0.500 0.500 0.500
```